! TbPuNiIr (PBE, relaxed); values from VASP
&SYSTEM
  ibrav = 0, nat = 4, ntyp = 4
/
ATOMIC_SPECIES
Tb 158.93 Tb.upf
Pu 244.00 Pu.upf
Ni 58.69 Ni.upf
Ir 192.22 Ir.upf
CELL_PARAMETERS angstrom
0.000 3.414 3.414
3.414 0.000 3.414
3.414 3.414 0.000
ATOMIC_POSITIONS crystal
Tb 0.000 0.000 0.000
Pu 0.500 0.500 0.500
Ni 0.750 0.750 0.750
Ir 0.250 0.250 0.250
! E: -35.257 eV/cell
! ΔE_f: -413 meV/atom
! crystal system: cubic
! Fermi-level density of states: 10.57 states/eV per cell

***

! PuThNiIr (PBE, relaxed); values from VASP
&SYSTEM
  ibrav = 0, nat = 4, ntyp = 4
/
ATOMIC_SPECIES
Pu 244.00 Pu.upf
Th 232.04 Th.upf
Ni 58.69 Ni.upf
Ir 192.22 Ir.upf
CELL_PARAMETERS angstrom
0.000 3.479 3.479
3.479 0.000 3.479
3.479 3.479 0.000
ATOMIC_POSITIONS crystal
Pu 0.000 0.000 0.000
Th 0.500 0.500 0.500
Ni 0.750 0.750 0.750
Ir 0.250 0.250 0.250
! E: -38.022 eV/cell
! ΔE_f: -407 meV/atom
! crystal system: cubic
! Fermi-level density of states: 11.46 states/eV per cell